i:
A plane-wave DFT calculation with PBE was carried out for crystalline KZrI2N at its relaxed geometry.

The structure in extended XYZ format:
```
5
Lattice="-1.6894 -5.3517 -2.0101 -0.2101 -2.0365 5.5985 -4.0479 1.1744 0.2753" Properties=species:S:1:pos:R:3 pbc="T T T"
I -0.8447 -2.6758 -1.0051
I -0.1050 -1.0183 2.7993
K 0.0000 0.0000 0.0000
Zr -2.9737 -3.1069 1.9318
N -2.0240 0.5872 0.1377
```

D(E_F): 9.08 states/eV per cell
mass density: 4.4 g/cm³
magnetization: 0.0 μB/f.u.
V: 30.02 A^3/atom

---

ii:
A plane-wave DFT calculation with PBE was carried out for crystalline KZrI2N at its relaxed geometry.

The structure in extended XYZ format:
```
5
Lattice="-3.8417 2.9656 3.7018 -3.1351 -5.1624 0.8822 2.3905 -0.9040 3.2050" Properties=species:S:1:pos:R:3 pbc="T T T"
I -1.5675 -2.5812 0.4411
I -1.9208 1.4828 1.8509
K -2.2931 -1.5504 3.8945
Zr 0.0000 0.0000 0.0000
N 1.1952 -0.4520 1.6025
```

D(E_F): 1.48 states/eV per cell
mass density: 4.3 g/cm³
magnetization: 0.0 μB/f.u.
V: 30.55 A^3/atom

---

Going by the computed energies, the most stable comes first: ii, i.

---

i:
A plane-wave DFT calculation with PBE was carried out for crystalline KNa2I at its relaxed geometry.

The structure in extended XYZ format:
```
4
Lattice="-2.7556 -0.9183 3.3135 1.3803 -2.4356 3.4027 3.0184 8.6889 7.8477" Properties=species:S:1:pos:R:3 pbc="T T T"
Na -0.2251 -0.1096 8.5718
Na 1.8682 5.4446 5.9922
K 0.0000 0.0000 0.0000
I 0.8216 2.6675 7.2820
```

D(E_F): 2.07 states/eV per cell
mass density: 1.8 g/cm³
magnetization: 0.0 μB/f.u.
V: 49.69 A^3/atom

---

ii:
A plane-wave DFT calculation with PBE was carried out for crystalline KNa2I at its relaxed geometry.

The structure in extended XYZ format:
```
4
Lattice="-0.4312 -3.7181 -2.9890 1.8392 -2.8988 3.3404 -6.7055 -1.2902 2.5723" Properties=species:S:1:pos:R:3 pbc="T T T"
I 0.7040 -3.3084 0.1757
Na -1.6369 -0.3150 0.6279
Na -5.0686 -0.9753 1.9444
K -2.6487 -3.9535 1.4618
```

D(E_F): 0.82 states/eV per cell
mass density: 2.1 g/cm³
magnetization: 0.0 μB/f.u.
V: 41.86 A^3/atom

---

Going by the computed energies, the most stable comes first: ii, i.

---

i:
A plane-wave DFT calculation with PBE was carried out for crystalline KNa2I at its relaxed geometry.

The structure in extended XYZ format:
```
4
Lattice="0.0000 4.4139 4.4139 4.4139 0.0000 4.4139 4.4139 4.4139 0.0000" Properties=species:S:1:pos:R:3 pbc="T T T"
I 4.4139 4.4139 4.4139
Na 6.6208 6.6208 6.6208
Na 2.2069 2.2069 2.2069
K 0.0000 0.0000 0.0000
```

D(E_F): 1.47 states/eV per cell
mass density: 2.0 g/cm³
magnetization: 0.0 μB/f.u.
V: 43.00 A^3/atom

---

ii:
A plane-wave DFT calculation with PBE was carried out for crystalline KNa2I at its relaxed geometry.

The structure in extended XYZ format:
```
8
Lattice="-8.1021 -2.8119 6.3442 2.5310 -10.2783 -1.3233 -0.6868 -6.3826 5.2628" Properties=species:S:1:pos:R:3 pbc="T T T"
Na -2.8039 -8.8852 5.9343
Na -5.1903 -17.0513 8.2361
Na 1.0363 -8.1493 0.7814
Na -5.5581 -4.8596 5.6157
K -2.7856 -6.5451 2.5105
K -0.4707 -11.6030 3.2250
I -5.7872 -7.8698 7.0588
I 0.0000 0.0000 0.0000
```

D(E_F): 1.45 states/eV per cell
mass density: 1.8 g/cm³
magnetization: 0.0 μB/f.u.
V: 49.29 A^3/atom

---

Going by the computed energies, the most stable comes first: ii, i.

---

i:
A plane-wave DFT calculation with PBE was carried out for crystalline KNa2I2 at its relaxed geometry.

The structure in extended XYZ format:
```
5
Lattice="5.3860 0.0000 0.0000 0.0000 5.3860 0.0000 2.6930 2.6930 8.0240" Properties=species:S:1:pos:R:3 pbc="T T T"
Na 5.3860 2.6930 4.0120
Na 2.6930 5.3860 4.0120
I 5.3860 5.3860 5.7487
I 2.6930 2.6930 2.2754
K 0.0000 0.0000 0.0000
```

D(E_F): 2.50 states/eV per cell
mass density: 2.4 g/cm³
magnetization: 0.0 μB/f.u.
V: 46.55 A^3/atom

---

ii:
A plane-wave DFT calculation with PBE was carried out for crystalline KNa2I2 at its relaxed geometry.

The structure in extended XYZ format:
```
10
Lattice="9.3033 0.0000 0.0000 0.0000 9.3033 0.0000 0.0000 0.0000 4.6463" Properties=species:S:1:pos:R:3 pbc="T T T"
Na 7.8765 3.2249 2.3231
Na 6.0785 7.8765 2.3231
Na 1.4268 6.0785 2.3231
Na 3.2249 1.4268 2.3231
K 4.6517 4.6517 0.0000
K 0.0000 0.0000 0.0000
I 6.1158 1.4641 0.0000
I 7.8392 6.1158 0.0000
I 1.4641 3.1876 0.0000
I 3.1876 7.8392 0.0000
```

D(E_F): 4.75 states/eV per cell
mass density: 2.8 g/cm³
magnetization: 0.7 μB/f.u.
V: 40.21 A^3/atom

---

Going by the computed energies, the most stable comes first: i, ii.